## AcPmGaRu (PBE)

Data for a geometry-optimized AcPmGaRu structure.

Results
- Energy relative to the elements: -0.2076 eV per atom
- V: 25.3 Å³ per atom
- E: -5.50 eV per atom
- Crystal system: cubic
- Total moment: 0.0 μB/cell
- Distance to the lowest polymorph of the same formula: 0.134 eV per atom

Cell lengths 5.227, 5.227, 5.227 Å; angles 60.00, 60.00, 60.00 degrees
Sites, in units of the cell vectors:
Ac 0.000 0.000 0.000
Pm 0.500 0.500 0.500
Ga 0.250 0.250 0.250
Ru 0.750 0.750 0.750